NbCuBAu: optimized geometry, PBE.

* energy above the lowest structure with this stoichiometry: 0.325 eV/atom
* VASP energy: -5.098 eV/atom

a b c (Å): 4.3251 4.3251 4.3251
angles (deg): 60.00 60.00 60.00
With the nearest neighbours (Å) after each atom.
Atoms (fractional coordinates):
Nb: 0.0000 0.0000 0.0000  4 Cu 2.65, 4 Au 2.65
Cu: 0.7500 0.7500 0.7500  4 Nb 2.65, 4 B 2.65
B: 0.5000 0.5000 0.5000  4 Cu 2.65, 4 Au 2.65
Au: 0.2500 0.2500 0.2500  4 Nb 2.65, 4 B 2.65



RbLiU: optimized geometry, PBE.

* VASP energy: -2.853 eV/atom

a b c (Å): 5.6489 5.6489 5.6489
angles (deg): 60.00 60.00 60.00
With the nearest neighbours (Å) after each atom.
Atoms (fractional coordinates):
Rb: 0.0000 0.0000 0.0000  4 U 3.46
Li: 0.5000 0.5000 0.5000  4 U 3.46
U: 0.7500 0.7500 0.7500  4 Li 3.46, 4 Rb 3.46



no.,calculated density (g cm⁻³)
1,10.57
2,4.30